A plane-wave DFT calculation with PBE-GGA was carried out for a relaxed structure of Tm2Cr2Fe15.

- Density: 8.7 g/cm3
- Energy relative to the elements: -12 meV per atom
- Symmetry: R-3m

Unit cell a=6.3158 b=6.3158 c=6.3158 alpha=81.84 beta=81.84 gamma=81.84
With the nearest neighbours (Å) after each atom.
Atoms (fractional coordinates):
Fe 0.0000 0.6934 0.3066  8 Fe 2.43-2.55
Fe 0.3066 0.6934 0.0000  8 Fe 2.43-2.55
Fe 0.6604 0.1582 0.6604  8 Fe 2.38-2.55, 1 Cr 2.61
Fe 0.1582 0.6604 0.6604  8 Fe 2.38-2.55, 1 Cr 2.61
Fe 0.0000 0.5000 0.0000  8 Fe 2.38-2.43, 2 Cr 2.59
Fe 0.6604 0.6604 0.1582  8 Fe 2.38-2.55, 1 Cr 2.61
Fe 0.5000 0.0000 0.0000  8 Fe 2.38-2.43, 2 Cr 2.59
Fe 0.3396 0.8418 0.3396  8 Fe 2.38-2.55, 1 Cr 2.61
Fe 0.0000 0.0000 0.5000  8 Fe 2.38-2.43, 2 Cr 2.59
Fe 0.0000 0.3066 0.6934  8 Fe 2.43-2.55
Fe 0.3396 0.3396 0.8418  8 Fe 2.38-2.55, 1 Cr 2.61
Fe 0.8418 0.3396 0.3396  8 Fe 2.38-2.55, 1 Cr 2.61
Fe 0.6934 0.0000 0.3066  8 Fe 2.43-2.55
Fe 0.3066 0.0000 0.6934  8 Fe 2.43-2.55
Fe 0.6934 0.3066 0.0000  8 Fe 2.43-2.55
Tm 0.3421 0.3421 0.3421  15 Fe 2.88-3.16, 1 Cr 3.17
Tm 0.6579 0.6579 0.6579  15 Fe 2.88-3.16, 1 Cr 3.17
Cr 0.0863 0.0863 0.0863  1 Cr 2.14
Cr 0.9137 0.9137 0.9137  1 Cr 2.14